A relaxed Li6Sn2B4SO16 crystal. Source: Alexandria, functional PBEsol.

For the density of states at the Fermi level, the calculation gives 0.0 states/eV/cell. The calculation puts the energy relative to the elements, uncorrected at -2.0839 eV/atom.

It has space group Fd-3 (No. 203, origin choice 2), with a = 13.347 Å, b = 13.347 Å, c = 13.347 Å, α = 90.00°, β = 90.00° and γ = 90.00°. The distinct sites, in fractional coordinates, are Li at (0.092, 0.375, 0.375), Sn at (0.000, 0.000, 0.500), B at (0.028, 0.028, 0.722), S at (0.125, 0.125, 0.125), O at (0.024, 0.293, 0.603) and O at (0.060, 0.060, 0.060).



A relaxed HfZn3Re crystal. Source: Alexandria, functional PBEsol.

The energy above the most stable polymorph in this dataset comes out at 0.00 eV per formula unit. For the density of states at the Fermi level, the calculation gives 2.9 states/eV/cell. The calculation puts the formation energy at 1002.4 meV per atom.

It has space group Pm-3m (No. 221), with a = 4.614 Å, b = 4.614 Å, c = 4.614 Å, α = 90.00°, β = 90.00° and γ = 90.00°. The distinct sites, in fractional coordinates, are Hf at (0.000, 0.000, 0.000), Zn at (0.000, 0.500, 0.500) and Re at (0.500, 0.500, 0.500).



A relaxed ZnBiTe2 crystal. Source: Alexandria, functional PBEsol.

For the density of states at the Fermi level, the calculation gives 6.4 states/eV/cell. The calculation puts the energy relative to the elements, uncorrected at 0.0055 eV/atom.

It has space group R-3m (No. 166, hexagonal axes), with a = 3.7256 Å, b = 3.7256 Å, c = 28.5113 Å, α = 90.00°, β = 90.00° and γ = 120.00°. The distinct sites, in fractional coordinates, are Zn at (0.0000, 0.0000, 0.0000), Bi at (0.0000, 0.0000, 0.5000) and Te at (0.0000, 0.0000, 0.3923).



A relaxed CrBr2Cl crystal. Source: Alexandria, functional PBEsol.

The energy above the most stable polymorph in this dataset comes out at 0.00 eV per formula unit. For the density of states at the Fermi level, the calculation gives 10.5 states/eV/cell. The calculation puts the energy relative to the elements, uncorrected at -0.1142 eV/atom.

It has space group Cmmm (No. 65), with a = 3.468 Å, b = 6.618 Å, c = 9.288 Å, α = 90.00°, β = 90.00° and γ = 90.00°. The distinct sites, in fractional coordinates, are Cr at (0.000, 0.000, 0.000), Br at (0.000, 0.500, 0.185) and Cl at (0.000, 0.000, 0.500).



A relaxed BeAsP2 crystal. Source: Alexandria, functional PBEsol.

The energy above the most stable polymorph in this dataset comes out at 0.00 eV per formula unit. For the density of states at the Fermi level, the calculation gives 1.4 states/eV/cell. The calculation puts the formation energy at 63.4 meV per atom.

It has space group P4mm (No. 99), with a = 3.312 Å, b = 3.312 Å, c = 5.528 Å, α = 90.00°, β = 90.00° and γ = 90.00°. The distinct sites, in fractional coordinates, are Be at (0.000, 0.000, 0.000), As at (0.500, 0.500, 0.899), P at (0.000, 0.000, 0.391) and P at (0.500, 0.500, 0.479).



A relaxed Cs3As7 crystal. Source: Alexandria, functional PBEsol.

The calculation puts the formation energy at -360.0 meV per atom.

It has space group Pbca (No. 61), with a = 10.070 Å, b = 13.454 Å, c = 21.440 Å, α = 90.00°, β = 90.00° and γ = 90.00°. The distinct sites, in fractional coordinates, are Cs at (0.105, 0.225, 0.124), Cs at (0.207, 0.030, 0.770), Cs at (0.240, 0.048, 0.478), As at (0.034, 0.168, 0.952), As at (0.044, 0.620, 0.146), As at (0.063, 0.721, 0.709), As at (0.079, 0.673, 0.042), As at (0.088, 0.593, 0.633), As at (0.163, 0.206, 0.315) and As at (0.245, 0.206, 0.903).



A relaxed Re2SiTc crystal. Source: Alexandria, functional PBEsol.

For the density of states at the Fermi level, the calculation gives 3.2 states/eV/cell. The calculation puts the energy relative to the elements, uncorrected at 0.0014 eV/atom.

It has space group Pmmm (No. 47), with a = 2.987 Å, b = 4.266 Å, c = 4.350 Å, α = 90.00°, β = 90.00° and γ = 90.00°. The distinct sites, in fractional coordinates, are Re at (0.000, 0.000, 0.000), Re at (0.500, 0.500, 0.000), Si at (0.000, 0.500, 0.500) and Tc at (0.500, 0.000, 0.500).



A relaxed MgPd5 crystal. Source: Alexandria, functional PBEsol.

For the density of states at the Fermi level, the calculation gives 32.0 states/eV/cell. The calculation puts the formation energy at -309.0 meV per atom.

It has space group R32 (No. 155, hexagonal axes), with a = 4.7662 Å, b = 4.7662 Å, c = 13.5350 Å, α = 90.00°, β = 90.00° and γ = 120.00°. The distinct sites, in fractional coordinates, are Mg at (0.0000, 0.0000, 0.0000), Pd at (0.0000, 0.0000, 0.3318) and Pd at (0.0000, 0.6687, 0.5000).